Record 1
First-principles (GGA-PBE) data for crystalline Tb4Nd3PuS8 at its relaxed geometry, as listed in Alexandria.

Cell and atoms, written as POSCAR:
```
Tb4Nd3PuS8
1.0
7.958 0.000 0.000
0.000 7.984 0.013
-3.979 -3.975 5.630
Tb S Pu Nd
4 8 1 3
Cartesian
0.000 0.000 0.000 Tb
-1.989 -1.988 2.815 Tb
3.979 0.000 0.000 Tb
1.989 -1.988 2.815 Tb
0.000 4.068 2.835 S
5.995 6.029 0.057 S
3.979 -0.059 2.808 S
1.963 6.029 0.057 S
0.000 -0.062 2.768 S
2.016 -2.020 5.586 S
-2.016 -2.020 5.586 S
3.979 4.071 2.875 S
0.000 3.992 0.007 Pu
-1.989 2.005 2.822 Nd
3.979 3.992 0.007 Nd
1.989 2.005 2.822 Nd
```

Computed properties:
Space-group type: R-3m
Formation energy without anion corrections, eV/atom: -2.00

Record 2
First-principles (GGA-PBE) data for crystalline ThGeOs at its relaxed geometry, as listed in Alexandria.

Cell and atoms, written as POSCAR:
```
ThGeOs
1.0
3.793 0.000 0.000
0.000 4.415 0.000
0.000 -2.208 3.824
Os Ge Th
1 1 1
Cartesian
0.632 0.000 0.000 Os
0.633 2.208 1.275 Ge
2.528 0.000 2.549 Th
```

Computed properties:
Space-group type: P-6m2

Record 3
First-principles (GGA-PBE) data for crystalline Y6Al2Cu at its relaxed geometry, as listed in Alexandria.

Cell and atoms, written as POSCAR:
```
Y6Al2Cu
1.0
4.980 0.000 0.249
0.000 9.741 0.000
-0.486 0.000 9.726
Al Y Cu
4 12 2
Cartesian
-0.385 2.858 7.717 Al
2.146 7.729 6.997 Al
2.348 2.012 2.978 Al
4.879 6.882 2.259 Al
2.153 4.587 6.869 Y
2.018 1.884 9.568 Y
-0.094 0.283 1.881 Y
-0.057 3.717 1.150 Y
2.304 8.587 3.837 Y
4.551 6.024 8.825 Y
2.190 1.153 6.138 Y
4.588 9.457 8.094 Y
4.723 6.754 5.395 Y
-0.229 2.986 4.580 Y
2.341 5.154 3.106 Y
2.476 7.857 0.408 Y
-0.243 0.000 4.863 Cu
2.490 4.870 0.125 Cu
```

Computed properties:
Space-group type: P4_2/mnm

Record 4
First-principles (GGA-PBE) data for crystalline TcTeRh2 at its relaxed geometry, as listed in Alexandria.

Cell and atoms, written as POSCAR:
```
TcTeRh2
1.0
-3.573 -0.849 -1.188
1.112 -1.981 -1.929
0.760 -6.026 2.020
Te Tc Rh
1 1 2
Cartesian
-0.383 -6.429 -0.526 Te
-1.319 -2.426 -0.571 Tc
1.104 -2.063 -1.848 Rh
0.944 -3.921 -0.036 Rh
```

Computed properties:
Space-group type: Pmmm
Formation energy without anion corrections, eV/atom: 0.14

Record 5
First-principles (GGA-PBE) data for crystalline GaBiPSe at its relaxed geometry, as listed in Alexandria.

Cell and atoms, written as POSCAR:
```
GaBiPSe
1.0
3.912 0.046 0.168
0.057 4.447 -0.020
0.350 2.113 6.761
P Bi Se Ga
1 1 1 1
Cartesian
3.899 2.731 5.541 P
1.908 4.581 5.261 Bi
1.763 3.717 2.208 Se
3.773 4.297 0.937 Ga
```

Computed properties:
Space-group type: P1
Formation energy without anion corrections, eV/atom: -0.01

Record 6
First-principles (GGA-PBE) data for crystalline AcLaSe2O at its relaxed geometry, as listed in Alexandria.

Cell and atoms, written as POSCAR:
```
AcLaSe2O
1.0
-4.261 0.369 -0.257
-0.137 -3.401 -2.602
-1.513 -9.121 12.003
Se O Ac La
4 2 2 2
Cartesian
-1.120 -8.035 7.036 Se
-3.507 -8.110 10.788 Se
-2.593 -2.602 3.538 Se
-0.206 -2.526 -0.214 Se
-0.756 -4.560 6.002 O
-2.956 -6.077 4.572 O
-0.699 -5.500 3.700 Ac
-3.013 -5.137 6.874 Ac
-1.394 -9.688 9.211 La
-2.319 -0.949 1.363 La
```

Computed properties:
Space-group type: P4/nmm
Formation energy without anion corrections, eV/atom: -2.50

Record 7
First-principles (GGA-PBE) data for crystalline RbAsCBr2 at its relaxed geometry, as listed in Alexandria.

Cell and atoms, written as POSCAR:
```
RbAsCBr2
1.0
6.597 0.000 0.000
0.000 6.597 0.000
0.000 0.000 7.723
As Br Rb C
1 2 1 1
Cartesian
0.000 0.000 3.862 As
3.299 0.000 0.000 Br
0.000 3.299 0.000 Br
0.000 0.000 0.000 Rb
3.299 3.299 3.862 C
```

Computed properties:
Space-group type: P4/mmm
Formation energy without anion corrections, eV/atom: 1.72

Record 8
First-principles (GGA-PBE) data for crystalline YSc2IrO at its relaxed geometry, as listed in Alexandria.

Cell and atoms, written as POSCAR:
```
YSc2IrO
1.0
4.281 0.000 0.000
0.000 4.281 0.000
0.000 0.000 4.771
Sc Y Ir O
2 1 1 1
Cartesian
2.140 0.000 0.000 Sc
0.000 2.140 0.000 Sc
0.000 0.000 2.385 Y
2.140 2.140 2.385 Ir
0.000 0.000 0.000 O
```

Computed properties:
Space-group type: P4/mmm
Formation energy without anion corrections, eV/atom: -1.51

Record 9
First-principles (GGA-PBE) data for crystalline Rb2SrZrBr6 at its relaxed geometry, as listed in Alexandria.

Cell and atoms, written as POSCAR:
```
Rb2SrZrBr6
1.0
-2.212 -0.881 -7.783
-7.477 -2.172 2.371
-6.495 3.985 -2.861
Br Rb Sr Zr
6 2 1 1
Cartesian
-3.479 -1.192 -5.340 Br
-10.483 -0.401 -5.487 Br
-6.211 -1.861 -0.072 Br
-2.331 -0.735 -1.302 Br
-5.701 1.333 -2.787 Br
-7.358 -2.319 -4.110 Br
-6.776 0.788 -6.676 Rb
-9.409 0.143 -1.598 Rb
-4.845 -1.527 -2.706 Sr
0.000 0.000 0.000 Zr
```

Computed properties:
Space-group type: Fm-3m
Formation energy without anion corrections, eV/atom: -1.55

Record 10
First-principles (GGA-PBE) data for crystalline CaMg2Ga4 at its relaxed geometry, as listed in Alexandria.

Cell and atoms, written as POSCAR:
```
CaMg2Ga4
1.0
-4.385 4.002 -1.187
-4.031 -3.631 2.649
4.558 4.439 6.139
Ga Ca Mg
8 2 4
Cartesian
0.459 1.200 2.253 Ga
-1.954 0.579 1.518 Ga
-4.318 3.610 5.348 Ga
-1.787 3.153 1.694 Ga
-2.072 1.657 5.907 Ga
2.153 3.910 5.451 Ga
-6.011 0.901 2.150 Ga
-1.905 4.231 6.083 Ga
-4.158 -1.757 1.715 Ca
-4.258 2.128 -0.253 Ca
-0.192 3.325 4.024 Mg
-2.525 5.199 3.523 Mg
-3.667 1.485 3.577 Mg
-1.333 -0.389 4.078 Mg
```

Computed properties:
Space-group type: C2/c

Record 11
First-principles (GGA-PBE) data for crystalline Nd4IrRh2 at its relaxed geometry, as listed in Alexandria.

Cell and atoms, written as POSCAR:
```
Nd4IrRh2
1.0
0.204 6.659 -3.833
-2.600 -5.541 -4.649
-4.682 0.649 6.061
Rh Nd Ir
4 8 2
Cartesian
-2.162 -1.716 -3.118 Rh
-5.700 -1.858 -0.962 Rh
-3.796 1.656 0.139 Rh
-2.497 5.452 -0.903 Rh
-4.594 4.161 1.288 Nd
-5.156 -2.975 1.622 Nd
-1.419 2.794 -0.990 Nd
-3.986 -3.756 -2.264 Nd
-2.692 -0.992 0.072 Nd
-4.155 0.335 -2.878 Nd
-6.485 0.663 0.160 Nd
-4.707 0.827 3.197 Nd
0.000 0.000 0.000 Ir
-2.317 2.386 -3.684 Ir
```

Computed properties:
Space-group type: I-42d

Record 12
First-principles (GGA-PBE) data for crystalline RbBaRuSe2 at its relaxed geometry, as listed in Alexandria.

Cell and atoms, written as POSCAR:
```
RbBaRuSe2
1.0
-3.156 -4.398 -3.101
3.014 1.000 -4.486
4.154 -4.277 1.837
Se Ru Rb Ba
2 1 1 1
Cartesian
-1.578 -2.199 -1.551 Se
2.077 -2.138 0.918 Se
1.507 0.500 -2.243 Ru
2.006 -3.837 -2.875 Rb
0.000 0.000 0.000 Ba
```

Computed properties:
Space-group type: P4/mmm
Formation energy without anion corrections, eV/atom: 0.44

| no. | N(E_F) (states/eV/cell) | uncorrected energy (eV per atom) |
| --- | --- | --- |
| 1 | 13.16 | -7.007 |
| 2 | 3.79 | -8.177 |
| 3 | 20.40 | -5.823 |
| 4 | 3.62 | -6.913 |
| 5 | 1.58 | -3.963 |
| 6 | 1.69 | -6.690 |
| 7 | 14.74 | -1.915 |
| 8 | 4.67 | -8.099 |
| 9 | 8.73 | -3.771 |
| 10 | 6.39 | -2.754 |
| 11 | 9.42 | -6.709 |
| 12 | 5.40 | -3.391 |